(1)
VASP calculation (PBE) on LiCa2Ta after structural relaxation.

D(E_F)	0.960	states/eV per atom
energy above the lowest structure with this stoichiometry	151	meV/atom
size of the total moment	0.29	μB/atom
formation enthalpy at 0 K	640	meV per atom

a = 3.1858 Å, b = 5.6114 Å, c = 11.5800 Å
α = 90.00°, β = 90.00°, γ = 90.00°
Space group Imm2 (No. 44)
Inequivalent atoms, fractional coordinates:
Li (0.0000, 0.0000, 0.0000)
Ca (0.0000, 0.0000, 0.5387)
Ca (0.0000, 0.5000, 0.7494)
Ta (0.0000, 0.5000, 0.2934)

(2)
VASP calculation (PBE) on Nd2YNpP4 after structural relaxation.

D(E_F)	1.376	states/eV per atom
size of the total moment	0.45	μB/atom
formation enthalpy at 0 K	-1382	meV per atom

a = 7.0414 Å, b = 4.0667 Å, c = 7.0600 Å
α = 90.00°, β = 109.30°, γ = 90.00°
Space group P2/m (No. 10)
Inequivalent atoms, fractional coordinates:
Nd (0.0000, 0.0000, 0.0000)
Nd (0.5000, 0.5000, 0.0000)
Y (0.0000, 0.5000, 0.5000)
Np (0.5000, 0.0000, 0.5000)
P (0.2508, 0.0000, 0.7368)
P (0.2587, 0.5000, 0.2650)

(3)
VASP calculation (PBE) on LaPtRh2 after structural relaxation.

D(E_F)	0.644	states/eV per atom
size of the total moment	0.00	μB/atom
formation enthalpy at 0 K	-554	meV per atom

a = 4.5408 Å, b = 4.5408 Å, c = 14.1383 Å
α = 90.00°, β = 90.00°, γ = 120.00°
Space group R-3m (No. 166, hexagonal axes)
Inequivalent atoms, fractional coordinates:
La (0.0000, 0.0000, 0.0000)
Pt (0.0000, 0.0000, 0.5000)
Rh (0.0000, 0.0000, 0.1936)

(4)
VASP calculation (PBE) on TaZnSe after structural relaxation.

D(E_F)	0.747	states/eV per atom
energy above the lowest structure with this stoichiometry	52	meV/atom
size of the total moment	0.00	μB/atom
formation energy from raw total energies	-0.112	eV per atom

a = 3.2570 Å, b = 3.2570 Å, c = 9.9272 Å
α = 90.00°, β = 90.00°, γ = 90.00°
Space group I4mm (No. 107)
Inequivalent atoms, fractional coordinates:
Ta (0.0000, 0.0000, 0.0000)
Zn (0.0000, 0.0000, 0.6784)
Se (0.0000, 0.0000, 0.3707)

(5)
VASP calculation (PBE) on CaPBr2 after structural relaxation.

D(E_F)	0.331	states/eV per atom
energy above the lowest structure with this stoichiometry	313	meV/atom
size of the total moment	0.00	μB/atom
formation energy from raw total energies	-0.542	eV per atom

a = 4.9076 Å, b = 4.6116 Å, c = 4.9228 Å
α = 90.00°, β = 92.08°, γ = 90.00°
Space group P2/m (No. 10)
Inequivalent atoms, fractional coordinates:
Ca (0.0000, 0.0000, 0.0000)
P (0.5000, 0.0000, 0.5000)
Br (0.2636, 0.5000, 0.7364)

(6)
VASP calculation (PBE) on LiAs2BrN after structural relaxation.

D(E_F)	0.529	states/eV per atom
energy above the lowest structure with this stoichiometry	1002	meV/atom
size of the total moment	0.37	μB/atom
formation energy from raw total energies	1.350	eV per atom

a = 4.6260 Å, b = 4.6260 Å, c = 4.9519 Å
α = 90.00°, β = 90.00°, γ = 90.00°
Space group P4/mmm (No. 123)
Inequivalent atoms, fractional coordinates:
Li (0.0000, 0.0000, 0.0000)
As (0.0000, 0.5000, 0.0000)
Br (0.0000, 0.0000, 0.5000)
N (0.5000, 0.5000, 0.5000)

(7)
VASP calculation (PBE) on TcTeOs2 after structural relaxation.

D(E_F)	0.860	states/eV per atom
energy above the lowest structure with this stoichiometry	27	meV/atom
size of the total moment	0.00	μB/atom
formation energy from raw total energies	0.599	eV per atom

a = 9.3495 Å, b = 2.9755 Å, c = 4.7261 Å
α = 90.00°, β = 95.73°, γ = 90.00°
Space group Cm (No. 8)
Inequivalent atoms, fractional coordinates:
Tc (0.0000, 0.0000, 0.0000)
Te (0.2339, 0.0000, 0.7371)
Os (0.2268, 0.5000, 0.2390)
Os (0.4586, 0.0000, 0.4427)

(8)
VASP calculation (PBE) on TbIn2Sb after structural relaxation.

D(E_F)	0.434	states/eV per atom
energy above the lowest structure with this stoichiometry	0	meV/atom
size of the total moment	0.00	μB/atom
formation energy from raw total energies	-0.447	eV per atom

a = 4.5617 Å, b = 4.5617 Å, c = 5.0142 Å
α = 90.00°, β = 90.00°, γ = 90.00°
Space group P4/mmm (No. 123)
Inequivalent atoms, fractional coordinates:
Tb (0.0000, 0.0000, 0.0000)
In (0.0000, 0.5000, 0.5000)
Sb (0.5000, 0.5000, 0.0000)

(9)
VASP calculation (PBE) on LaTcHg after structural relaxation.

D(E_F)	1.101	states/eV per atom
energy above the lowest structure with this stoichiometry	189	meV/atom
size of the total moment	0.00	μB/atom
formation enthalpy at 0 K	446	meV per atom

a = 3.5274 Å, b = 3.5274 Å, c = 6.7790 Å
α = 90.00°, β = 90.00°, γ = 120.00°
Space group P3m1 (No. 156)
Inequivalent atoms, fractional coordinates:
La (0.0000, 0.0000, 0.0000)
Tc (0.6667, 0.3333, 0.2961)
Hg (0.3333, 0.6667, 0.5949)

(10)
VASP calculation (PBE) on AcTlRh2 after structural relaxation.

D(E_F)	0.559	states/eV per atom
size of the total moment	0.00	μB/atom
formation enthalpy at 0 K	-448	meV per atom

a = 5.6465 Å, b = 4.4664 Å, c = 7.3722 Å
α = 90.00°, β = 90.00°, γ = 90.00°
Space group Pmma (No. 51)
Inequivalent atoms, fractional coordinates:
Ac (0.2500, 0.0000, 0.2354)
Tl (0.2500, 0.5000, 0.8521)
Rh (0.0000, 0.5000, 0.5000)
Rh (0.2500, 0.0000, 0.6263)

(11)
VASP calculation (PBE) on LiPmMg2 after structural relaxation.

D(E_F)	1.072	states/eV per atom
energy above the lowest structure with this stoichiometry	13	meV/atom
size of the total moment	0.00	μB/atom
formation enthalpy at 0 K	-47	meV per atom

a = 3.5477 Å, b = 3.5477 Å, c = 7.9358 Å
α = 90.00°, β = 90.00°, γ = 90.00°
Space group P4/mmm (No. 123)
Inequivalent atoms, fractional coordinates:
Li (0.0000, 0.0000, 0.0000)
Pm (0.0000, 0.0000, 0.5000)
Mg (0.5000, 0.5000, 0.2101)